The following is a DFT calculation (GGA-PBEsol) of K2LaScSn after structural relaxation.

DOS at the Fermi energy   3.23 states/eV per cell
Calculated density   3.4 g cm⁻³
Calculated volume   36.9 Å³ per atom
Formation enthalpy at 0 K   0.681 eV/atom
Uncorrected energy   -15.1 eV for the cell shown

a b c (Å): 5.7525 5.7525 5.5782
angles (deg): 90.00 90.00 90.00
Space group P4/mmm (No. 123)
Inequivalent atoms, fractional coordinates:
K 0.0000 0.5000 0.0000 (multiplicity 2)
La 0.0000 0.0000 0.5000 (multiplicity 1)
Sc 0.5000 0.5000 0.0000 (multiplicity 1)
Sn 0.5000 0.5000 0.5000 (multiplicity 1)

---

The following is a DFT calculation (GGA-PBEsol) of CsHg3Au after structural relaxation.

DOS at the Fermi energy   1.79 states/eV per cell
Calculated density   9.8 g cm⁻³
Calculated volume   31.5 Å³ per atom
Relative energy among the computed polymorphs   22 meV/atom
Formation enthalpy at 0 K   -0.172 eV/atom
Uncorrected energy   -7.4 eV for the cell shown

a b c (Å): 5.3985 5.3985 5.3985
angles (deg): 90.00 90.00 90.00
Space group Pm-3m (No. 221)
Inequivalent atoms, fractional coordinates:
Cs 0.0000 0.0000 0.0000 (multiplicity 1)
Hg 0.0000 0.5000 0.5000 (multiplicity 3)
Au 0.5000 0.5000 0.5000 (multiplicity 1)